Compound: Li3Mn3CrO8
Source: Alexandria via LeMat-Bulk
Functional: GGA+U
Structure: relaxed

## Properties
**ρ**: 4.019 g cm⁻³
**Spin magnetization**: 14.00 μB per formula unit
**N(E_F)**: 0.03 states/eV per atom
**Total DFT energy (no corrections)**: -101.57 eV/cell

Unit cell a=5.9387 b=5.9387 c=6.1242 alpha=59.09 beta=59.09 gamma=60.43
Closest atoms and distances in Å follow each position.
Fractional positions:
Li 0.0000 0.0000 0.0000  6 O 2.18-2.31
Li 0.5000 0.0000 0.0000  4 O 2.08-2.14
Li 0.0000 0.5000 0.0000  4 O 2.08-2.14
Mn 0.5000 0.5000 0.5000  6 O 1.95-1.98
Mn 0.0000 0.5000 0.5000  4 O 1.96-2.00
Mn 0.5000 0.0000 0.5000  4 O 1.96-2.00
Cr 0.0000 0.0000 0.5000  6 O 2.00-2.02
O 0.2635 0.2635 0.7503  1 Mn 1.95, 3 Li 2.08-2.18
O 0.7592 0.7592 0.6984  2 Mn 1.96, 1 Cr 2.00
O 0.2627 0.7541 0.7076  2 Mn 1.98-2.00, 1 Cr 2.02, 1 Li 2.14
O 0.7365 0.7365 0.2497  1 Mn 1.95, 3 Li 2.08-2.18
O 0.7541 0.2627 0.7076  2 Mn 1.98-2.00, 1 Cr 2.02, 1 Li 2.14
O 0.2408 0.2408 0.3016  2 Mn 1.96, 1 Cr 2.00
O 0.7373 0.2459 0.2924  2 Mn 1.98-2.00, 1 Cr 2.02, 1 Li 2.14
O 0.2459 0.7373 0.2924  2 Mn 1.98-2.00, 1 Cr 2.02, 1 Li 2.14